[1]
# Mg14ScAg | the Alexandria database | GGA-PBE | relaxed
# **Calculated total energy**: -0.146 Ry/atom
# **V**: 360.78 Å³/cell
data_Mg14ScAg
_cell_length_a 6.461
_cell_length_b 6.461
_cell_length_c 8.643
_cell_angle_alpha 90.00
_cell_angle_beta 90.00
_cell_angle_gamma 90.00
_space_group_name_H-M_alt 'P 1'
_space_group_IT_number 1
_space_group_name_Hall 'P 1'
loop_
_atom_site_label
_atom_site_fract_x
_atom_site_fract_y
_atom_site_fract_z
Mg1 0.000 0.000 0.000
Mg2 0.000 0.500 0.000
Mg3 0.000 0.500 0.500
Mg4 0.247 0.247 0.255
Mg5 0.247 0.247 0.745
Mg6 0.247 0.753 0.255
Mg7 0.247 0.753 0.745
Mg8 0.500 0.000 0.000
Mg9 0.500 0.000 0.500
Mg10 0.500 0.500 0.000
Mg11 0.753 0.247 0.255
Mg12 0.753 0.247 0.745
Mg13 0.753 0.753 0.255
Mg14 0.753 0.753 0.745
Sc1 0.500 0.500 0.500
Ag1 0.000 0.000 0.500

[2]
# Mg3Sc4Ag2 | the Alexandria database | GGA-PBE | relaxed
# **Calculated total energy**: -0.297 Ry/atom
# **V**: 197.04 Å³/cell
data_Mg3Sc4Ag2
_cell_length_a 5.865
_cell_length_b 5.865
_cell_length_c 11.342
_cell_angle_alpha 107.44
_cell_angle_beta 107.44
_cell_angle_gamma 32.11
_space_group_name_H-M_alt 'P 1'
_space_group_IT_number 1
_space_group_name_Hall 'P 1'
loop_
_atom_site_label
_atom_site_fract_x
_atom_site_fract_y
_atom_site_fract_z
Mg1 0.000 0.000 0.000
Mg2 0.297 0.297 0.406
Mg3 0.703 0.703 0.594
Sc1 0.007 0.007 0.355
Sc2 0.317 0.317 0.126
Sc3 0.683 0.683 0.874
Sc4 0.993 0.993 0.645
Ag1 0.370 0.370 0.796
Ag2 0.630 0.630 0.204

Question: Number 2 is which compound?
Answer: Mg3Sc4Ag2